Entry 1:
An optimized crystal structure of SrCa4Nd, computed with PBE-GGA.

Cell lengths 7.2164, 7.2164, 7.2164 Å; angles 60.00, 60.00, 60.00 degrees
Sites, in units of the cell vectors:
Nd 0.0000 0.0000 0.0000
Ca 0.6257 0.1229 0.6257
Ca 0.6257 0.6257 0.6257
Ca 0.1229 0.6257 0.6257
Ca 0.6257 0.6257 0.1229
Sr 0.2500 0.2500 0.2500

## Properties
Formation energy from the elements, meV per atom: 182
Symmetry: F-43m
Calculated volume, Å³/atom: 44.29
Energy relative to the lowest polymorph listed for this composition, eV per atom: 0.132

=====

Entry 2:
An optimized crystal structure of Pu2AsSe, computed with PBE-GGA.

Cell lengths 4.1623, 4.1623, 7.1934 Å; angles 73.18, 73.18, 60.00 degrees
Sites, in units of the cell vectors:
Pu 0.2517 0.2517 0.2448
Pu 0.7483 0.7483 0.7552
As 0.0000 0.0000 0.0000
Se 0.5000 0.5000 0.5000

## Properties
E_form (uncorrected), meV per atom: -1303
Symmetry: R-3m
Calculated volume, Å³/atom: 25.43
Energy relative to the lowest polymorph listed for this composition, eV per atom: 0.004

=====

Entry 3:
An optimized crystal structure of CaTl2Mo, computed with PBE-GGA.

Cell lengths 5.3079, 5.3079, 5.3079 Å; angles 60.00, 60.00, 60.00 degrees
Sites, in units of the cell vectors:
Ca 0.5000 0.5000 0.5000
Tl 0.2500 0.2500 0.2500
Tl 0.0000 0.0000 0.0000
Mo 0.7500 0.7500 0.7500

## Properties
Formation energy from the elements, meV per atom: 655
Symmetry: F-43m
Calculated volume, Å³/atom: 26.44
Energy relative to the lowest polymorph listed for this composition, eV per atom: 0.315

=====

Entry 4:
An optimized crystal structure of Sn2Sb2Br, computed with PBE-GGA.

Cell lengths 8.6954, 8.6954, 3.9190 Å; angles 90.00, 90.00, 90.00 degrees
Sites, in units of the cell vectors:
Sn 0.3417 0.8417 0.0000
Sn 0.6583 0.1583 0.0000
Sn 0.8417 0.6583 0.0000
Sn 0.1583 0.3417 0.0000
Sb 0.8729 0.3729 0.5000
Sb 0.3729 0.1271 0.5000
Sb 0.1271 0.6271 0.5000
Sb 0.6271 0.8729 0.5000
Br 0.0000 0.0000 0.0000
Br 0.5000 0.5000 0.0000

## Properties
E_form (uncorrected), meV per atom: -2
Symmetry: P4/mbm
Calculated volume, Å³/atom: 29.63
Energy relative to the lowest polymorph listed for this composition, eV per atom: 0.105

=====

Entry 5:
An optimized crystal structure of Li5LaPd2, computed with PBE-GGA.

Cell lengths 3.9974, 6.6109, 6.6109 Å; angles 77.44, 72.40, 72.40 degrees
Sites, in units of the cell vectors:
Li 0.0000 0.5000 0.5000
Li 0.3325 0.8483 0.4866
Li 0.3325 0.4866 0.8483
Li 0.6675 0.1517 0.5134
Li 0.6675 0.5134 0.1517
Pd 0.2755 0.2245 0.2245
Pd 0.7245 0.7755 0.7755
La 0.0000 0.0000 0.0000

## Properties
Formation energy from the elements, meV per atom: -355
Symmetry: Immm
Calculated volume, Å³/atom: 19.65

=====

Entry 6:
An optimized crystal structure of Zn2CdTe, computed with PBE-GGA.

Cell lengths 3.1520, 3.1520, 8.8513 Å; angles 90.00, 90.00, 90.00 degrees
Sites, in units of the cell vectors:
Cd 0.0000 0.0000 0.4484
Te 0.5000 0.5000 0.7683
Zn 0.0000 0.0000 0.0579
Zn 0.5000 0.5000 0.2253

## Properties
E_form (uncorrected), meV per atom: 142
Symmetry: P4mm
Calculated volume, Å³/atom: 21.98
Energy relative to the lowest polymorph listed for this composition, eV per atom: 0.129

=====

Entry 7:
An optimized crystal structure of Na2Sr4Ca3, computed with PBE-GGA.

Cell lengths 6.4134, 6.4176, 11.8382 Å; angles 89.97, 90.00, 60.01 degrees
Sites, in units of the cell vectors:
Sr 0.6670 0.6662 0.8785
Sr 0.9999 0.0002 0.3311
Sr 0.3330 0.3338 0.1215
Sr 0.0001 0.9998 0.6689
Na 0.3339 0.3328 0.7907
Na 0.6661 0.6672 0.2093
Ca 0.0000 0.0000 0.0000
Ca 0.3335 0.3330 0.4746
Ca 0.6665 0.6670 0.5254

## Properties
Formation energy from the elements, meV per atom: 40
Symmetry: C2/m
Calculated volume, Å³/atom: 46.89

=====

Entry 8:
An optimized crystal structure of Li2TcAg, computed with PBE-GGA.

Cell lengths 4.8266, 4.8266, 5.0790 Å; angles 81.80, 81.80, 31.32 degrees
Sites, in units of the cell vectors:
Li 0.9994 0.9994 0.9870
Li 0.5006 0.5006 0.5130
Ag 0.2500 0.2500 0.2500
Tc 0.7500 0.7500 0.7500

## Properties
Formation energy from the elements, meV per atom: 238
Symmetry: C2/m
Calculated volume, Å³/atom: 15.21
Energy relative to the lowest polymorph listed for this composition, eV per atom: 0.126

=====

Entry 9:
An optimized crystal structure of K2NbMo, computed with PBE-GGA.

Cell lengths 5.6359, 5.6359, 5.6359 Å; angles 60.00, 60.00, 60.00 degrees
Sites, in units of the cell vectors:
K 0.2500 0.2500 0.2500
K 0.7500 0.7500 0.7500
Mo 0.5000 0.5000 0.5000
Nb 0.0000 0.0000 0.0000

## Properties
Formation energy from the elements, meV per atom: 2451
Symmetry: Fm-3m
Calculated volume, Å³/atom: 31.65
Energy relative to the lowest polymorph listed for this composition, eV per atom: 0.854

=====

Entry 10:
An optimized crystal structure of AcHo2O, computed with PBE-GGA.

Cell lengths 3.3066, 3.3066, 8.9124 Å; angles 90.00, 90.00, 90.00 degrees
Sites, in units of the cell vectors:
Ho 0.0000 0.0000 0.8274
Ho 0.0000 0.0000 0.1726
Ac 0.5000 0.5000 0.5000
O 0.5000 0.5000 0.0000

## Properties
E_form (uncorrected), meV per atom: -653
Symmetry: P4/mmm
Calculated volume, Å³/atom: 24.36
Energy relative to the lowest polymorph listed for this composition, eV per atom: 0.519

=====

Entry 11:
An optimized crystal structure of LaGaP2S, computed with PBE-GGA.

Cell lengths 5.6442, 5.6442, 5.4937 Å; angles 90.00, 90.00, 90.00 degrees
Sites, in units of the cell vectors:
S 0.0000 0.0000 0.5000
P 0.5000 0.0000 0.0000
P 0.0000 0.5000 0.0000
La 0.0000 0.0000 0.0000
Ga 0.5000 0.5000 0.5000

## Properties
E_form (uncorrected), meV per atom: 394
Symmetry: P4/mmm
Calculated volume, Å³/atom: 35.00
Energy relative to the lowest polymorph listed for this composition, eV per atom: 0.764

=====

Entry 12:
An optimized crystal structure of K3ZrCr, computed with PBE-GGA.

Cell lengths 6.6425, 6.6425, 6.6425 Å; angles 90.00, 90.00, 90.00 degrees
Sites, in units of the cell vectors:
K 0.0000 0.0000 0.5000
K 0.0000 0.5000 0.0000
K 0.5000 0.0000 0.0000
Cr 0.0000 0.0000 0.0000
Zr 0.5000 0.5000 0.5000

## Properties
Formation energy from the elements, meV per atom: 1489
Symmetry: Pm-3m
Calculated volume, Å³/atom: 58.62
Energy relative to the lowest polymorph listed for this composition, eV per atom: 0.000

=====

Q: What is the formula in the sixth record?
A: Zn2CdTe

=====

Q: The highest calculated volume belongs to which entry?
A: K3ZrCr

=====

Q: calculated volume of number 5 (Li5LaPd2)?
A: 19.65 Å³/atom